# Pr3NiPt3, optimized geometry, DFT PBE
data_Pr3NiPt3
_cell_length_a 4.0482
_cell_length_b 4.3774
_cell_length_c 18.4388
_cell_angle_alpha 90.00
_cell_angle_beta 90.00
_cell_angle_gamma 90.00
_space_group_name_H-M_alt 'I m m 2'
_space_group_IT_number 44
_space_group_name_Hall 'I 2 -2'
loop_
_atom_site_label
_atom_site_type_symbol
_atom_site_fract_x
_atom_site_fract_y
_atom_site_fract_z
Pr1 Pr 0.0000 0.0000 0.0000
Pr2 Pr 0.0000 0.0000 0.3677
Pr3 Pr 0.0000 0.5000 0.1853
Ni1 Ni 0.0000 0.5000 0.7564
Pt1 Pt 0.0000 0.0000 0.5314
Pt2 Pt 0.0000 0.0000 0.8288
Pt3 Pt 0.0000 0.5000 0.6245
# Energy = -6.38 eV per atom
# Magnetic moment = 0.00 Bohr magnetons per cell
# D(E_F) = 4.2 states/eV/f.u.
# Calculated volume = 23.34 A^3/atom